(1)
Computed, not measured: a relaxed structure of BaTeIr at the PBE level of DFT.

## Properties
- symmetry = No. 107
- M_tot (μB per cell) = 0.000
- ΔE_f (raw) (eV per formula unit) = -0.56
- E above lowest polymorph (eV per atom) = 0.454

Cell lengths 6.402, 6.402, 3.821 Å; angles 72.64, 72.64, 34.72 degrees
Fractional coordinates of all 3 atoms:
1 Ba 0.001 0.001 0.999
2 Ir 0.277 0.277 0.723
3 Te 0.722 0.722 0.278

=====

(2)
Computed, not measured: a relaxed structure of Al3In2Au8 at the PBE level of DFT.

## Properties
- symmetry = No. 65
- final energy (hartree per atom) = -0.1295
- M_tot (μB per cell) = 0.000

Cell lengths 4.460, 8.106, 8.231 Å; angles 119.48, 90.00, 90.00 degrees
Fractional coordinates of all 13 atoms:
1 Al 0.500 0.000 0.000
2 Al 0.000 0.279 0.000
3 Al 0.000 0.721 0.000
4 In 0.500 0.239 0.478
5 In 0.500 0.761 0.522
6 Au 0.000 0.634 0.267
7 Au 0.000 0.366 0.733
8 Au 0.000 0.110 0.220
9 Au 0.000 0.890 0.780
10 Au 0.500 0.624 0.792
11 Au 0.500 0.168 0.792
12 Au 0.500 0.832 0.208
13 Au 0.500 0.376 0.208

=====

> Which formula does entry 1 have?

BaTeIr